4
Lattice="1.7260 -3.7710 -2.0667 -2.4601 -3.9257 -0.0859 -1.8296 -1.5009 -3.9838" Properties=species:S:1:pos:R:3 comment="ScNbTlCo PBE relaxed" spacegroup="F-43m (216)" magmom_total_mub_per_fu=2.0 relative_energy_ev_per_atom=0.0000 pbc="T T T"
Co -1.9228 -6.8983 -4.6023
Nb -1.2818 -4.5989 -3.0682
Sc -0.6409 -2.2994 -1.5341
Tl 0.0000 0.0000 0.0000